1.
A plane-wave DFT calculation with PBE was carried out for a relaxed structure of NaTcP3.

Cell lengths 4.691, 4.691, 4.691 Å; angles 90.00, 90.00, 90.00 degrees
Sites, in units of the cell vectors:
P (0.000, 0.500, 0.000)
P (0.000, 0.000, 0.500)
P (0.500, 0.000, 0.000)
Tc (0.000, 0.000, 0.000)
Na (0.500, 0.500, 0.500)

Computed properties:
energy above the lowest structure with this stoichiometry: 0 meV/atom
energy of formation: 0.272 eV per atom
space group: Pm-3m



2.
A plane-wave DFT calculation with PBE was carried out for a relaxed structure of ErGa2Ag2.

Cell lengths 4.405, 3.699, 12.297 Å; angles 98.65, 100.32, 90.00 degrees
Sites, in units of the cell vectors:
Er (0.831, 0.581, 0.662)
Er (0.169, 0.419, 0.338)
Ga (0.724, 0.974, 0.449)
Ga (0.276, 0.026, 0.551)
Ga (0.380, 0.130, 0.760)
Ga (0.620, 0.870, 0.240)
Ag (0.544, 0.294, 0.088)
Ag (0.949, 0.199, 0.897)
Ag (0.456, 0.706, 0.912)
Ag (0.051, 0.801, 0.103)

Computed properties:
energy of formation: -0.317 eV per atom
space group: Imma



What calculated density values result from the calculations? In sequence: 3441 8906 kg/m3.